First-principles (PBE) data for a geometry-optimized NbInCoW structure, as listed in the Open Quantum Materials Database.

## Properties
Crystal system   cubic
DFT total energy   -7.831 eV per atom

Unit cell a=6.4183 b=6.4183 c=6.4183 alpha=90.00 beta=90.00 gamma=90.00
Space group F-43m (No. 216)
One atom of each set of equivalent atoms:
Nb  0.0000  0.0000  0.0000 (multiplicity 4)
In  0.0000  0.0000  0.5000 (multiplicity 4)
Co  0.2500  0.2500  0.7500 (multiplicity 4)
W  0.2500  0.2500  0.2500 (multiplicity 4)